Material: Pu2In8Co
Method: DFT, PBE
State: optimized geometry

Its formation energy from the elements is -0.18 eV/atom.

The space group is P4/mmm (No. 123) and the conventional cell measures 4.627, 4.627 and 12.172 Å, with angles of 90.00, 90.00 and 90.00 degrees. The inequivalent atoms are Pu at (0.000, 0.000, 0.194), In at (0.000, 0.500, 0.000), In at (0.000, 0.500, 0.380), In at (0.500, 0.500, 0.192) and Co at (0.000, 0.000, 0.500).